Record 1
4
Lattice="3.6360 0.0000 0.0000 0.0000 5.3049 0.0000 0.0000 0.0000 5.3884" Properties=species:S:1:pos:R:3 comment="LaY2Cu SCAN single point on PBEsol structure" space_group=Pmmm magmom_total_mub_per_atom=0.0000 e_tot_ev_per_cell=-113.3 dos_at_fermi_per_ev_fu=4.66 delta_e_f_mev_per_atom=170 e_above_lowest_polymorph_mev_per_atom=282 pbc="T T T"
La 0.0000 0.0000 0.0000
Y 0.0000 2.6524 2.6942
Y 1.8180 2.6524 0.0000
Cu 1.8180 0.0000 2.6942

=====

Record 2
4
Lattice="3.5278 0.0000 0.0000 0.0000 3.5278 0.0000 0.0000 0.0000 8.6188" Properties=species:S:1:pos:R:3 comment="LaY2Cu SCAN single point on PBEsol structure" space_group=P4mm magmom_total_mub_per_atom=0.1375 e_tot_ev_per_cell=-114.2 dos_at_fermi_per_ev_fu=5.84 delta_e_f_mev_per_atom=-64 e_above_lowest_polymorph_mev_per_atom=48 pbc="T T T"
La 0.0000 0.0000 0.0000
Y 0.0000 0.0000 3.4299
Y 1.7639 1.7639 5.9547
Cu 1.7639 1.7639 1.9082

=====

Record 3
4
Lattice="3.8141 0.0000 0.0000 0.0000 4.4476 0.0000 -1.8856 0.0000 5.2228" Properties=species:S:1:pos:R:3 comment="LaYCu2 SCAN single point on PBEsol structure" space_group=Pm magmom_total_mub_per_atom=0.0000 e_tot_ev_per_cell=-102.3 dos_at_fermi_per_ev_fu=2.96 delta_e_f_mev_per_atom=-229 e_above_lowest_polymorph_mev_per_atom=0 pbc="T T T"
La 0.0000 0.0000 0.0000
Y 1.9195 2.2238 2.2674
Cu 0.0158 0.0000 2.9985
Cu 0.0167 2.2238 4.3826

=====

Record 4
4
Lattice="3.4852 0.0000 0.0000 0.0000 3.4852 0.0000 0.0000 0.0000 8.6455" Properties=species:S:1:pos:R:3 comment="LaY2Cu SCAN single point on PBEsol structure" space_group=P4/mmm magmom_total_mub_per_atom=0.0000 e_tot_ev_per_cell=-114.4 dos_at_fermi_per_ev_fu=4.68 delta_e_f_mev_per_atom=-112 e_above_lowest_polymorph_mev_per_atom=0 pbc="T T T"
La 0.0000 0.0000 0.0000
Y 1.7426 1.7426 2.6769
Y 1.7426 1.7426 5.9686
Cu 0.0000 0.0000 4.3227

=====

Record 5
4
Lattice="-1.7941 2.6933 5.5284 1.7941 -2.6933 5.5284 1.7941 2.6933 -5.5284" Properties=species:S:1:pos:R:3 comment="LaY2Cu SCAN single point on PBEsol structure" space_group=Immm magmom_total_mub_per_atom=0.0000 e_tot_ev_per_cell=-114.2 dos_at_fermi_per_ev_fu=5.14 delta_e_f_mev_per_atom=-51 e_above_lowest_polymorph_mev_per_atom=61 pbc="T T T"
La 0.0000 0.0000 0.0000
Y 1.7941 0.0000 3.2560
Y 0.0000 2.6933 2.2724
Cu 0.0000 0.0000 5.5284

=====

Record 6
5
Lattice="-2.2151 2.2151 4.4891 2.2151 -2.2151 4.4891 2.2151 2.2151 -4.4891" Properties=species:S:1:pos:R:3 comment="LaZn2Cu2 SCAN single point on PBEsol structure" space_group=I4/mmm magmom_total_mub_per_atom=0.0000 e_tot_ev_per_cell=-101.9 dos_at_fermi_per_ev_fu=3.10 delta_e_f_mev_per_atom=-264 pbc="T T T"
La 0.0000 0.0000 0.0000
Zn 0.0000 0.0000 3.2684
Zn 0.0000 0.0000 5.7099
Cu 2.2151 0.0000 2.2446
Cu 0.0000 2.2151 2.2446

=====

Record 7
3
Lattice="4.4592 0.0000 0.0000 -2.2296 3.8618 0.0000 0.0000 0.0000 3.5621" Properties=species:S:1:pos:R:3 comment="LaZnCu SCAN single point on PBEsol structure" space_group=P-6m2 magmom_total_mub_per_atom=0.0000 e_tot_ev_per_cell=-72.8 dos_at_fermi_per_ev_fu=1.73 delta_e_f_mev_per_atom=-317 pbc="T T T"
La 0.0000 0.0000 0.0000
Zn 0.0000 2.5745 1.7811
Cu 2.2296 1.2873 1.7811

=====

Record 8
5
Lattice="4.5801 0.0000 0.0000 0.0000 4.5801 0.0000 0.0000 0.0000 4.5801" Properties=species:S:1:pos:R:3 comment="LaZn3Cu SCAN single point on PBEsol structure" space_group=Pm-3m magmom_total_mub_per_atom=0.0000 e_tot_ev_per_cell=-99.9 dos_at_fermi_per_ev_fu=1.58 delta_e_f_mev_per_atom=-212 pbc="T T T"
La 0.0000 0.0000 0.0000
Zn 0.0000 2.2901 2.2901
Zn 2.2901 0.0000 2.2901
Zn 2.2901 2.2901 0.0000
Cu 2.2901 2.2901 2.2901